Record 1
First-principles (GGA-PBE) data for crystalline Pd2Cl3F at its relaxed geometry, as listed in Alexandria.

```
data_Pd2Cl3F
_symmetry_space_group_name_H-M 'C 1 2/m 1'
_symmetry_Int_Tables_number 12
_symmetry_space_group_name_Hall '-C 2y'
_cell_length_a 21.2365
_cell_length_b 3.3291
_cell_length_c 10.7537
_cell_angle_alpha 90.00
_cell_angle_beta 119.66
_cell_angle_gamma 90.00
loop_
_atom_site_label
_atom_site_fract_x
_atom_site_fract_y
_atom_site_fract_z
Pd1 0.0871 0.0000 0.3377
Pd2 0.1397 0.5000 0.8391
Cl1 0.1273 0.0000 0.9760
Cl2 0.1543 0.0000 0.7048
Cl3 0.1612 0.5000 0.3418
F1 0.0245 0.5000 0.3314
```

Values from the calculation:
ΔE_f (raw) (meV per atom): -592
E_tot (eV/atom): -3.558
Magnetization (μB/atom): 0.0000
Excess energy over the best structure of this formula in the dataset (meV per atom): 42.2

***

Record 2
First-principles (GGA-PBE) data for crystalline ZrTa2As at its relaxed geometry, as listed in Alexandria.

```
data_ZrTa2As
_symmetry_space_group_name_H-M 'I -4 2 d'
_symmetry_Int_Tables_number 122
_symmetry_space_group_name_Hall 'I -4 2bw'
_cell_length_a 7.9071
_cell_length_b 7.9071
_cell_length_c 5.2698
_cell_angle_alpha 90.00
_cell_angle_beta 90.00
_cell_angle_gamma 90.00
loop_
_atom_site_label
_atom_site_fract_x
_atom_site_fract_y
_atom_site_fract_z
Zr1 0.0000 0.0000 0.0000
Ta1 0.1885 0.2500 0.6250
As1 0.0000 0.0000 0.5000
```

Values from the calculation:
Energy of formation from the pure elements (eV per atom): 0.178
E_tot (eV/atom): -9.048
Magnetization (μB/atom): 0.0000

***

Record 3
First-principles (GGA-PBE) data for crystalline Ce8Ge5Bi at its relaxed geometry, as listed in Alexandria.

```
data_Ce8Ge5Bi
_symmetry_space_group_name_H-M 'I -4'
_symmetry_Int_Tables_number 82
_symmetry_space_group_name_Hall 'I -4'
_cell_length_a 9.0411
_cell_length_b 9.0411
_cell_length_c 9.1034
_cell_angle_alpha 90.00
_cell_angle_beta 90.00
_cell_angle_gamma 90.00
loop_
_atom_site_label
_atom_site_fract_x
_atom_site_fract_y
_atom_site_fract_z
Ce1 0.0666 0.1526 0.3097
Ce2 0.0785 0.3176 0.9383
Ge1 0.0000 0.0000 0.0000
Ge2 0.1316 0.2569 0.6201
Bi1 0.0000 0.5000 0.2500
```

Values from the calculation:
Energy of formation from the pure elements (eV per atom): -0.685
E_tot (eV/atom): -6.002
Magnetization (μB/atom): 0.4719

***

Record 4
First-principles (GGA-PBE) data for crystalline AlTlHg2 at its relaxed geometry, as listed in Alexandria.

```
data_AlTlHg2
_symmetry_space_group_name_H-M 'R -3 m'
_symmetry_Int_Tables_number 166
_symmetry_space_group_name_Hall '-R 3 2"'
_cell_length_a 3.5850
_cell_length_b 3.5850
_cell_length_c 26.9625
_cell_angle_alpha 90.00
_cell_angle_beta 90.00
_cell_angle_gamma 120.00
loop_
_atom_site_label
_atom_site_fract_x
_atom_site_fract_y
_atom_site_fract_z
Al1 0.0000 0.0000 0.0000
Tl1 0.0000 0.0000 0.5000
Hg1 0.0000 0.0000 0.2613
```

Values from the calculation:
Energy of formation from the pure elements (eV per atom): 0.094
E_tot (eV/atom): -1.584
Magnetization (μB/atom): 0.0000

***

Record 5
First-principles (GGA-PBE) data for crystalline Nd2Y2Tm5 at its relaxed geometry, as listed in Alexandria.

```
data_Nd2Y2Tm5
_symmetry_space_group_name_H-M 'P -1'
_symmetry_Int_Tables_number 2
_symmetry_space_group_name_Hall '-P 1'
_cell_length_a 3.5862
_cell_length_b 8.8122
_cell_length_c 9.4468
_cell_angle_alpha 103.35
_cell_angle_beta 100.90
_cell_angle_gamma 90.06
loop_
_atom_site_label
_atom_site_fract_x
_atom_site_fract_y
_atom_site_fract_z
Nd1 0.1663 0.0012 0.3312
Y1 0.0925 0.3367 0.1842
Tm1 0.2397 0.6628 0.4803
Tm2 0.4260 0.3355 0.8527
Tm3 0.5000 0.0000 0.0000
```

Values from the calculation:
Energy of formation from the pure elements (eV per atom): -0.001
E_tot (eV/atom): -4.981
Magnetization (μB/atom): 0.0000
Excess energy over the best structure of this formula in the dataset (meV per atom): 0.0

***

Record 6
First-principles (GGA-PBE) data for crystalline InCuTe2 at its relaxed geometry, as listed in Alexandria.

```
data_InCuTe2
_symmetry_space_group_name_H-M 'R -3 m'
_symmetry_Int_Tables_number 166
_symmetry_space_group_name_Hall '-R 3 2"'
_cell_length_a 3.6139
_cell_length_b 3.6139
_cell_length_c 29.3982
_cell_angle_alpha 90.00
_cell_angle_beta 90.00
_cell_angle_gamma 120.00
loop_
_atom_site_label
_atom_site_fract_x
_atom_site_fract_y
_atom_site_fract_z
In1 0.0000 0.0000 0.0000
Cu1 0.0000 0.0000 0.5000
Te1 0.0000 0.0000 0.1101
```

Values from the calculation:
ΔE_f (raw) (meV per atom): 88
E_tot (eV/atom): -3.192
Magnetization (μB/atom): 0.0000

***

Record 7
First-principles (GGA-PBE) data for crystalline LaAl3Cd at its relaxed geometry, as listed in Alexandria.

```
data_LaAl3Cd
_symmetry_space_group_name_H-M 'P m -3 m'
_symmetry_Int_Tables_number 221
_symmetry_space_group_name_Hall '-P 4 2 3'
_cell_length_a 5.7749
_cell_length_b 5.7749
_cell_length_c 5.7749
_cell_angle_alpha 90.00
_cell_angle_beta 90.00
_cell_angle_gamma 90.00
loop_
_atom_site_label
_atom_site_fract_x
_atom_site_fract_y
_atom_site_fract_z
La1 0.0000 0.0000 0.0000
Al1 0.0000 0.0000 0.5000
Cd1 0.5000 0.5000 0.5000
```

Values from the calculation:
Energy of formation from the pure elements (eV per atom): 1.169
E_tot (eV/atom): -2.245
Magnetization (μB/atom): 0.0000
Excess energy over the best structure of this formula in the dataset (meV per atom): 848.5

***

Record 8
First-principles (GGA-PBE) data for crystalline PuTlSI at its relaxed geometry, as listed in Alexandria.

```
data_PuTlSI
_symmetry_space_group_name_H-M 'R 3 m'
_symmetry_Int_Tables_number 160
_symmetry_space_group_name_Hall 'R 3 -2"'
_cell_length_a 4.2283
_cell_length_b 4.2283
_cell_length_c 25.3093
_cell_angle_alpha 90.00
_cell_angle_beta 90.00
_cell_angle_gamma 120.00
loop_
_atom_site_label
_atom_site_fract_x
_atom_site_fract_y
_atom_site_fract_z
Pu1 0.0000 0.0000 0.0000
Tl1 0.0000 0.0000 0.2040
S1 0.0000 0.0000 0.6170
I1 0.0000 0.0000 0.4178
```

Values from the calculation:
ΔE_f (raw) (meV per atom): -1003
E_tot (eV/atom): -6.597
Magnetization (μB/atom): 1.5048

***

no.,V (Å³ per atom)
1,27.53
2,20.59
3,26.58
4,25.01
5,31.66
6,27.71
7,38.52
8,32.66